Record 1
Entry from Alexandria via LeMat-Bulk: a relaxed NdURe4 crystal (PBE).

Properties
Fermi-level density of states in states/eV/f.u.: 13.66
Calculated total energy in eV for the cell shown: -65.1
Total magnetic moment in μB per formula unit: 2.33
ΔH_f (0 K) in kJ/mol of formula units: 74
Space-group type: F-43m (216)

Cell lengths 5.4500, 5.4500, 5.4500 Å; angles 60.00, 60.00, 60.00 degrees
Sites, in units of the cell vectors:
1 Re 0.6251 0.6251 0.1246
2 Nd 0.0000 0.0000 0.0000
3 Re 0.6251 0.6251 0.6251
4 Re 0.1246 0.6251 0.6251
5 U 0.2500 0.2500 0.2500
6 Re 0.6251 0.1246 0.6251

=====

Record 2
Entry from Alexandria via LeMat-Bulk: a relaxed CePuTc crystal (PBE).

Properties
Fermi-level density of states in states/eV/f.u.: 6.90
Calculated total energy in eV for the cell shown: -61.3
Total magnetic moment in μB per formula unit: 5.14
ΔH_f (0 K) in kJ/mol of formula units: -2
Space-group type: P-1 (2)

Cell lengths 5.9677, 4.7416, 5.4364 Å; angles 102.89, 91.29, 59.46 degrees
Sites, in units of the cell vectors:
1 Tc 0.7887 0.6494 0.6804
2 Tc 0.2113 0.3506 0.3196
3 Ce 0.1244 0.0459 0.7690
4 Pu 0.5324 0.6964 0.2272
5 Ce 0.8756 0.9541 0.2310
6 Pu 0.4676 0.3036 0.7728

=====

Record 3
Entry from Alexandria via LeMat-Bulk: a relaxed Ce2Sm3HoAs6 crystal (PBE).

Properties
Fermi-level density of states in states/eV/f.u.: 11.51
Calculated total energy in eV for the cell shown: -76.5
Total magnetic moment in μB per formula unit: 1.20
ΔH_f (0 K) in kJ/mol of formula units: -1734
Space-group type: C2/m (12)

Cell lengths 4.1973, 8.3932, 9.3758 Å; angles 102.96, 102.93, 90.00 degrees
Sites, in units of the cell vectors:
1 As 0.9996 0.7545 0.9991
2 As 0.3326 0.4180 0.6652
3 As 0.0004 0.2455 0.0009
4 As 0.3352 0.9160 0.6704
5 As 0.6648 0.0840 0.3296
6 As 0.6674 0.5820 0.3348
7 Sm 0.5000 0.5000 0.0000
8 Sm 0.1665 0.8345 0.3329
9 Ce 0.1656 0.3314 0.3311
10 Ce 0.8344 0.6686 0.6689
11 Ho 0.5000 0.0000 0.0000
12 Sm 0.8335 0.1655 0.6671

=====

Record 4
Entry from Alexandria via LeMat-Bulk: a relaxed PrNd4Tm crystal (PBE).

Properties
Fermi-level density of states in states/eV/f.u.: 11.28
Calculated total energy in eV for the cell shown: -27.3
Total magnetic moment in μB per formula unit: 0.00
ΔH_f (0 K) in kJ/mol of formula units: 102
Space-group type: C2/m (12)

Cell lengths 3.4956, 6.2028, 10.3282 Å; angles 88.13, 80.26, 73.63 degrees
Sites, in units of the cell vectors:
1 Nd 0.3443 0.4641 0.8474
2 Pr 0.5000 0.5000 0.5000
3 Nd 0.8457 0.9676 0.3409
4 Nd 0.1543 0.0324 0.6591
5 Nd 0.6557 0.5359 0.1526
6 Tm 0.0000 0.0000 0.0000